VASP calculation (GGA-PBE) on a relaxed K2GeSb crystal.

Cell lengths 10.712, 8.677, 5.839 Å; angles 90.00, 90.00, 90.00 degrees
Space group Cmcm (No. 63)
Inequivalent atoms, fractional coordinates:
K (0.182, 0.156, 0.250) (multiplicity 8)
Ge (0.000, 0.500, 0.000) (multiplicity 4)
Sb (0.000, 0.196, 0.750) (multiplicity 4)

Formation energy without anion corrections   -134 meV/atom
Total magnetic moment   0.00 μB/atom
Total DFT energy (no corrections)   -2.87 eV per atom
Density   3.336 Mg/m³
Distance to the lowest polymorph of the same formula   0.0000 eV per atom
Crystal system   orthorhombic